A relaxed Ac3Tl4CdS8 crystal. Source: Alexandria via LeMat-Bulk, functional GGA-PBE.

Structure (POSCAR):
```
Ac3Tl4CdS8
1.0
-0.874 -6.877 -5.167
8.537 -1.977 1.187
-5.132 0.900 6.903
Ac Tl Cd S
3 4 1 8
direct
0.500 0.500 0.000
0.500 0.500 0.500
0.000 0.500 0.500
0.500 0.000 0.000
0.500 0.000 0.500
0.000 0.000 0.000
0.000 0.000 0.500
0.000 0.500 0.000
0.233 0.716 0.983
0.234 0.717 0.468
0.260 0.281 0.521
0.750 0.716 0.983
0.250 0.284 0.017
0.740 0.719 0.479
0.766 0.283 0.532
0.767 0.284 0.017
```

Computed properties:
The total energy is -74.15 eV per formula unit. The formation energy from raw total energies comes out at -18.42 eV/f.u. The space-group type is R-3m (166).

A relaxed MnCo2Pt crystal. Source: Alexandria via LeMat-Bulk, functional GGA-PBE.

Structure (POSCAR):
```
MnCo2Pt
1.0
0.000 2.911 2.911
2.911 0.000 2.911
2.911 2.911 0.000
Mn Co Pt
1 2 1
direct
0.000 0.000 0.000
0.250 0.250 0.250
0.750 0.750 0.750
0.500 0.500 0.500
```

Computed properties:
The total energy is -28.41 eV per formula unit. The space-group type is Fm-3m (225). As for the formation energy from the elements: 254 meV per atom.

A relaxed NpScCd crystal. Source: Alexandria via LeMat-Bulk, functional GGA-PBE.

Structure (POSCAR):
```
NpScCd
1.0
5.236 0.000 0.000
-2.618 4.509 0.475
0.000 -0.632 6.002
Sc Cd Np
2 2 2
direct
0.333 0.667 0.954
0.667 0.333 0.046
0.333 0.667 0.450
0.667 0.333 0.550
0.000 0.000 0.735
0.000 0.000 0.265
```

Computed properties:
The total energy is -19.43 eV per formula unit. The space-group type is P-3m1 (164). As for the formation energy from the elements: 254 meV per atom.

A relaxed SrPrHfO4 crystal. Source: Alexandria via LeMat-Bulk, functional GGA-PBE.

Structure (POSCAR):
```
SrPrHfO4
1.0
-2.194 2.416 2.479
-2.752 0.562 -2.984
-0.823 -6.612 2.327
Sr Pr Hf O
1 1 1 4
direct
0.350 0.350 0.699
0.656 0.656 0.312
0.000 0.000 0.999
0.000 0.500 0.999
0.500 0.000 0.999
0.833 0.833 0.665
0.162 0.162 0.325
```

Computed properties:
The total energy is -57.34 eV per formula unit. The formation energy from raw total energies comes out at -21.10 eV/f.u. The space-group type is I4mm (107).

A relaxed Rb2TmInCl6 crystal. Source: Alexandria via LeMat-Bulk, functional GGA-PBE.

Structure (POSCAR):
```
Rb2TmInCl6
1.0
7.671 0.000 0.005
0.000 8.091 0.000
0.074 0.000 11.009
Rb Tm In Cl
4 2 2 12
direct
0.023 0.932 0.251
0.523 0.568 0.751
0.977 0.068 0.749
0.477 0.432 0.249
0.500 0.000 0.500
0.000 0.500 0.000
0.500 0.000 0.000
0.000 0.500 0.500
0.276 0.678 0.049
0.776 0.822 0.549
0.724 0.322 0.951
0.224 0.178 0.451
0.330 0.730 0.440
0.830 0.770 0.940
0.670 0.270 0.560
0.170 0.230 0.060
0.895 0.538 0.225
0.395 0.962 0.725
0.105 0.462 0.775
0.605 0.038 0.275
```

Computed properties:
The total energy is -39.31 eV per formula unit. The formation energy from raw total energies comes out at -19.08 eV/f.u. The space-group type is P2_1/c (14).

A relaxed RbP2PdS crystal. Source: Alexandria via LeMat-Bulk, functional GGA-PBE.

Structure (POSCAR):
```
RbP2PdS
1.0
5.386 0.000 0.000
0.000 5.386 0.000
0.000 0.000 5.403
P S Rb Pd
2 1 1 1
direct
0.000 0.500 0.000
0.500 0.000 0.000
0.000 0.000 0.500
0.000 0.000 0.000
0.500 0.500 0.500
```

Computed properties:
For the energy above the most stable polymorph in this dataset, the calculation gives 1.879 eV per atom. The total energy is -10.42 eV per formula unit. The formation energy from raw total energies comes out at 10.69 eV/f.u. The space-group type is P4/mmm (123).

A relaxed Ce4C2N crystal. Source: Alexandria via LeMat-Bulk, functional GGA-PBE.

Structure (POSCAR):
```
Ce4C2N
1.0
3.554 0.000 0.000
-1.777 5.979 0.000
0.000 0.000 11.962
Ce C N
8 4 2
direct
0.779 0.558 0.127
0.779 0.558 0.373
0.221 0.442 0.873
0.221 0.442 0.627
0.951 0.901 0.750
0.049 0.099 0.250
0.500 0.000 0.000
0.500 0.000 0.500
0.144 0.289 0.440
0.856 0.711 0.940
0.144 0.289 0.060
0.856 0.711 0.560
0.580 0.161 0.750
0.420 0.839 0.250
```

Computed properties:
For the energy above the most stable polymorph in this dataset, the calculation gives 0.128 eV per atom. The total energy is -53.31 eV per formula unit. The formation energy from raw total energies comes out at -2.80 eV/f.u. The space-group type is Cmcm (63).

A relaxed YCdSe2 crystal. Source: Alexandria via LeMat-Bulk, functional GGA-PBE.

Structure (POSCAR):
```
YCdSe2
1.0
-3.939 -1.021 -0.132
-1.362 -2.494 -2.916
-0.430 -6.967 3.290
Cd Se Y
1 2 1
direct
0.250 0.250 0.250
0.006 0.006 0.979
0.494 0.494 0.521
0.750 0.750 0.750
```

Computed properties:
The total energy is -18.88 eV per formula unit. The formation energy from raw total energies comes out at -4.53 eV/f.u. The space-group type is C2/m (12).

A relaxed HfRe3Pb crystal. Source: Alexandria via LeMat-Bulk, functional GGA-PBE.

Structure (POSCAR):
```
HfRe3Pb
1.0
4.890 0.000 0.000
0.000 4.890 0.000
0.000 0.000 4.890
Pb Re Hf
1 3 1
direct
0.500 0.500 0.500
0.000 0.500 0.000
0.000 0.000 0.500
0.500 0.000 0.000
0.000 0.000 0.000
```

Computed properties:
For the energy above the most stable polymorph in this dataset, the calculation gives 0.000 eV per atom. The total energy is -39.34 eV per formula unit. The space-group type is Pm-3m (221). As for the formation energy from the elements: 2333 meV per atom.

A relaxed LaMgMo2 crystal. Source: Alexandria via LeMat-Bulk, functional GGA-PBE.

Structure (POSCAR):
```
LaMgMo2
1.0
5.916 0.006 0.003
2.714 5.256 -0.003
-3.716 -3.613 2.852
La Mg Mo
1 1 2
direct
0.520 0.520 0.000
0.235 0.735 0.500
0.959 0.959 0.000
0.786 0.286 0.500
```

Computed properties:
The total energy is -26.53 eV per formula unit. The space-group type is Imm2 (44). As for the formation energy from the elements: 413 meV per atom.

A relaxed ZrNb5Tc6 crystal. Source: Alexandria via LeMat-Bulk, functional GGA-PBE.

Structure (POSCAR):
```
ZrNb5Tc6
1.0
-4.167 1.735 0.323
-1.211 -1.783 -6.051
0.362 -5.982 5.100
Nb Tc Zr
5 6 1
direct
0.668 0.168 0.336
0.334 0.334 0.668
0.000 0.500 0.000
0.666 0.666 0.332
0.332 0.832 0.664
0.831 0.579 0.663
0.831 0.084 0.663
0.500 0.745 0.000
0.500 0.255 0.000
0.169 0.916 0.337
0.169 0.421 0.337
0.000 0.000 0.000
```

Computed properties:
The total energy is -125.45 eV per formula unit. The space-group type is Immm (71). As for the formation energy from the elements: -363 meV per atom.

A relaxed TaSeN2F crystal. Source: Alexandria via LeMat-Bulk, functional GGA-PBE.

Structure (POSCAR):
```
TaSeN2F
1.0
-1.155 1.155 3.785
-3.928 -0.815 -0.950
0.470 -3.774 1.295
N F Se Ta
2 1 1 1
direct
0.000 0.500 0.000
0.500 0.000 0.000
0.000 0.000 0.500
0.500 0.500 0.500
0.000 0.000 0.000
```

Computed properties:
For the energy above the most stable polymorph in this dataset, the calculation gives 0.000 eV per atom. The total energy is -34.81 eV per formula unit. The formation energy from raw total energies comes out at -0.95 eV/f.u. The space-group type is P4/mmm (123).

A relaxed LiDy2Be crystal. Source: Alexandria via LeMat-Bulk, functional GGA-PBE.

Structure (POSCAR):
```
LiDy2Be
1.0
3.473 0.000 0.000
0.000 3.473 0.000
0.000 0.000 7.494
Be Li Dy
1 1 2
direct
0.500 0.500 0.000
0.500 0.500 0.500
0.000 0.000 0.788
0.000 0.000 0.212
```

Computed properties:
For the energy above the most stable polymorph in this dataset, the calculation gives 0.000 eV per atom. The total energy is -14.48 eV per formula unit. The space-group type is P4/mmm (123). As for the formation energy from the elements: 91 meV per atom.

A relaxed Tb2PrYHo6 crystal. Source: Alexandria via LeMat-Bulk, functional GGA-PBE.

Structure (POSCAR):
```
Tb2PrYHo6
1.0
9.096 -2.053 -2.131
0.836 8.510 -2.028
0.836 -2.342 8.429
Tb Pr Y Ho
4 2 2 12
direct
0.455 0.802 0.697
0.045 0.303 0.198
0.545 0.198 0.303
0.955 0.697 0.802
0.250 0.976 0.024
0.750 0.024 0.976
0.250 0.409 0.591
0.750 0.591 0.409
0.057 0.123 0.748
0.443 0.252 0.877
0.943 0.877 0.252
0.557 0.748 0.123
0.318 0.980 0.433
0.182 0.567 0.020
0.682 0.020 0.567
0.818 0.433 0.980
0.119 0.708 0.492
0.381 0.508 0.292
0.881 0.292 0.508
0.619 0.492 0.708
```

Computed properties:
The total energy is -46.79 eV per formula unit. The space-group type is C2/c (15). As for the formation energy from the elements: 118 meV per atom.

A relaxed TaAl2GeP crystal. Source: Alexandria via LeMat-Bulk, functional GGA-PBE.

Structure (POSCAR):
```
TaAl2GeP
1.0
-3.374 -3.007 1.066
1.352 0.158 4.726
-2.924 3.535 0.718
P Ge Al Ta
1 1 2 1
direct
0.500 0.500 0.500
0.000 0.000 0.000
0.000 0.000 0.500
0.500 0.000 0.000
0.000 0.500 0.000
```

Computed properties:
The total energy is -24.10 eV per formula unit. The space-group type is P4/mmm (123). As for the formation energy from the elements: 1053 meV per atom.

A relaxed TaHgBr2 crystal. Source: Alexandria via LeMat-Bulk, functional GGA-PBE.

Structure (POSCAR):
```
TaHgBr2
1.0
3.216 0.000 0.000
0.000 3.215 0.000
0.000 0.000 10.068
Hg Br Ta
1 2 1
direct
0.500 0.500 0.250
0.000 0.000 0.912
0.000 0.000 0.588
0.500 0.500 0.750
```

Computed properties:
For the energy above the most stable polymorph in this dataset, the calculation gives 0.245 eV per atom. The total energy is -15.60 eV per formula unit. The formation energy from raw total energies comes out at -0.10 eV/f.u. The space-group type is P4/mmm (123).

A relaxed Hf3AlGa3 crystal. Source: Alexandria via LeMat-Bulk, functional GGA-PBE.

Structure (POSCAR):
```
Hf3AlGa3
1.0
4.898 0.000 0.000
0.000 7.804 0.000
0.000 -3.902 6.759
Hf Al Ga
6 2 6
direct
0.750 0.641 0.546
0.750 0.454 0.095
0.750 0.905 0.359
0.250 0.359 0.454
0.250 0.546 0.905
0.250 0.095 0.641
0.250 0.667 0.333
0.750 0.333 0.667
0.250 0.813 0.764
0.250 0.236 0.048
0.250 0.952 0.187
0.750 0.187 0.236
0.750 0.764 0.952
0.750 0.048 0.813
```

Computed properties:
For the energy above the most stable polymorph in this dataset, the calculation gives 0.150 eV per atom. The total energy is -44.97 eV per formula unit. The space-group type is P6_3/m (176). As for the formation energy from the elements: -326 meV per atom.

A relaxed BeZn2Cd crystal. Source: Alexandria via LeMat-Bulk, functional GGA-PBE.

Structure (POSCAR):
```
BeZn2Cd
1.0
-2.949 -2.586 2.052
0.766 -4.341 0.404
0.947 -1.721 3.968
Be Zn Cd
1 2 1
direct
0.500 0.500 0.500
0.000 0.000 0.000
0.250 0.250 0.250
0.750 0.750 0.750
```

Computed properties:
For the energy above the most stable polymorph in this dataset, the calculation gives 0.191 eV per atom. The total energy is -5.82 eV per formula unit. The space-group type is F-43m (216). As for the formation energy from the elements: 343 meV per atom.

A relaxed Tb2Sc2Al3 crystal. Source: Alexandria via LeMat-Bulk, functional GGA-PBE.

Structure (POSCAR):
```
Tb2Sc2Al3
1.0
-1.440 2.933 -0.063
-0.577 -0.352 -3.193
-14.034 -5.002 3.089
Tb Sc Al
2 2 3
direct
0.570 0.500 0.861
0.430 0.500 0.139
0.702 0.500 0.596
0.298 0.500 0.404
0.859 0.000 0.283
0.000 0.000 0.000
0.141 0.000 0.717
```

Computed properties:
The total energy is -35.02 eV per formula unit. The space-group type is Cmmm (65). As for the formation energy from the elements: -267 meV per atom.

A relaxed Er9Sc4Al11 crystal. Source: Alexandria via LeMat-Bulk, functional GGA-PBE.

Structure (POSCAR):
```
Er9Sc4Al11
1.0
3.257 0.000 0.000
0.000 12.390 -3.922
0.000 1.263 12.935
Er Sc Al
9 4 11
direct
0.500 0.631 0.146
0.500 0.369 0.854
0.500 0.146 0.631
0.500 0.854 0.369
0.500 0.789 0.960
0.500 0.211 0.040
0.500 0.960 0.789
0.500 0.040 0.211
0.500 0.500 0.500
0.500 0.568 0.743
0.500 0.432 0.257
0.500 0.743 0.568
0.500 0.257 0.432
0.000 0.574 0.936
0.000 0.426 0.064
0.000 0.936 0.574
0.000 0.064 0.426
0.000 0.633 0.367
0.000 0.367 0.633
0.000 0.839 0.161
0.000 0.161 0.839
0.000 0.000 0.000
0.000 0.755 0.755
0.000 0.245 0.245
```

Computed properties:
The total energy is -115.44 eV per formula unit. The space-group type is Cmmm (65). As for the formation energy from the elements: -328 meV per atom.

Number 1: total magnetic moment 0.00 Bohr magnetons per cell. Number 2: total magnetic moment 2.19 Bohr magnetons per cell. Number 3: total magnetic moment 9.56 Bohr magnetons per cell. Number 4: total magnetic moment 0.00 Bohr magnetons per cell. Number 5: total magnetic moment 0.00 Bohr magnetons per cell. Number 6: total magnetic moment 0.47 Bohr magnetons per cell. Number 7: total magnetic moment 0.00 Bohr magnetons per cell. Number 8: total magnetic moment 0.00 Bohr magnetons per cell. Number 9: total magnetic moment 3.58 Bohr magnetons per cell. Number 10: total magnetic moment 0.00 Bohr magnetons per cell. Number 11: total magnetic moment 0.00 Bohr magnetons per cell. Number 12: total magnetic moment 0.00 Bohr magnetons per cell. Number 13: total magnetic moment 0.00 Bohr magnetons per cell. Number 14: total magnetic moment 0.00 Bohr magnetons per cell. Number 15: total magnetic moment 0.00 Bohr magnetons per cell. Number 16: total magnetic moment 0.01 Bohr magnetons per cell. Number 17: total magnetic moment 0.00 Bohr magnetons per cell. Number 18: total magnetic moment 0.00 Bohr magnetons per cell. Number 19: total magnetic moment 0.40 Bohr magnetons per cell. Number 20: total magnetic moment 0.00 Bohr magnetons per cell.